(a)
Entry from the Alexandria database: crystalline KPa2I8 at its relaxed geometry (PBE).

a = 17.345 Å, b = 9.697 Å, c = 8.358 Å
α = 90.00°, β = 97.98°, γ = 90.00°
Space group C2/m (No. 12)
Unique sites:
K 0.000 0.000 0.000 (multiplicity 2)
Pa 0.181 0.000 0.637 (multiplicity 4)
I 0.095 0.236 0.747 (multiplicity 8)
I 0.156 0.500 0.217 (multiplicity 4)
I 0.178 0.000 0.281 (multiplicity 4)

Values from the calculation:
* spin magnetization: 6.00 Bohr magnetons per cell


(b)
Entry from the Alexandria database: crystalline KPa2I8 at its relaxed geometry (PBE).

a = 10.8061 Å, b = 10.8061 Å, c = 6.2184 Å
α = 90.00°, β = 90.00°, γ = 120.00°
Space group P-3 (No. 147)
Unique sites:
K 0.0000 0.0000 0.0000 (multiplicity 1)
Pa 0.3333 0.6667 0.2493 (multiplicity 2)
I 0.1740 0.3499 0.2570 (multiplicity 6)
I 0.3333 0.6667 0.7510 (multiplicity 2)

Values from the calculation:
* spin magnetization: 3.00 Bohr magnetons per cell


Order from most stable to least stable according to the calculation: (b), (a)


(a)
Entry from the Alexandria database: crystalline K2PbI at its relaxed geometry (PBE).

a = 8.898 Å, b = 8.898 Å, c = 8.898 Å
α = 90.00°, β = 90.00°, γ = 90.00°
Space group Fm-3m (No. 225)
Unique sites:
K 0.250 0.250 0.250 (multiplicity 8)
Pb 0.000 0.000 0.000 (multiplicity 4)
I 0.000 0.000 0.500 (multiplicity 4)

Values from the calculation:
* spin magnetization: 12.00 Bohr magnetons per cell


(b)
Entry from the Alexandria database: crystalline K2PbI at its relaxed geometry (PBE).

a = 9.680 Å, b = 9.680 Å, c = 7.566 Å
α = 90.00°, β = 90.00°, γ = 90.00°
Space group I-42d (No. 122)
Unique sites:
K 0.228 0.250 0.125 (multiplicity 8)
Pb 0.000 0.000 0.500 (multiplicity 4)
I 0.000 0.000 0.000 (multiplicity 4)

Values from the calculation:
* spin magnetization: 0.00 Bohr magnetons per cell


(c)
Entry from the Alexandria database: crystalline K2PbI at its relaxed geometry (PBE).

a = 4.2680 Å, b = 4.2680 Å, c = 35.3160 Å
α = 90.00°, β = 90.00°, γ = 120.00°
Space group R-3m (No. 166, hexagonal axes)
Unique sites:
K 0.0000 0.0000 0.0989 (multiplicity 6)
Pb 0.0000 0.0000 0.0000 (multiplicity 3)
I 0.0000 0.0000 0.5000 (multiplicity 3)

Values from the calculation:
* spin magnetization: 0.00 Bohr magnetons per cell


Order from most stable to least stable according to the calculation: (c), (b), (a)


(a)
Entry from the Alexandria database: crystalline KPb2I2 at its relaxed geometry (PBE).

a = 9.083 Å, b = 9.083 Å, c = 5.126 Å
α = 90.00°, β = 90.00°, γ = 90.00°
Space group P4/mbm (No. 127)
Unique sites:
K 0.000 0.000 0.000 (multiplicity 2)
Pb 0.119 0.381 0.500 (multiplicity 4)
I 0.156 0.656 0.000 (multiplicity 4)

Values from the calculation:
* spin magnetization: 0.00 Bohr magnetons per cell


(b)
Entry from the Alexandria database: crystalline KPb2I2 at its relaxed geometry (PBE).

a = 4.547 Å, b = 4.547 Å, c = 19.543 Å
α = 90.00°, β = 90.00°, γ = 90.00°
Space group I4/mmm (No. 139)
Unique sites:
K 0.000 0.000 0.000 (multiplicity 2)
Pb 0.000 0.500 0.250 (multiplicity 4)
I 0.000 0.000 0.398 (multiplicity 4)

Values from the calculation:
* spin magnetization: 0.00 Bohr magnetons per cell


Order from most stable to least stable according to the calculation: (b), (a)


(a)
Entry from the Alexandria database: crystalline K3PbI6 at its relaxed geometry (PBE).

a = 12.376 Å, b = 6.583 Å, c = 12.622 Å
α = 90.00°, β = 112.44°, γ = 90.00°
Space group P2_1/m (No. 11)
Unique sites:
K 0.064 0.250 0.393 (multiplicity 2)
K 0.178 0.750 0.165 (multiplicity 2)
K 0.346 0.250 0.854 (multiplicity 2)
Pb 0.462 0.750 0.622 (multiplicity 2)
I 0.102 0.000 0.878 (multiplicity 4)
I 0.165 0.750 0.494 (multiplicity 2)
I 0.265 0.250 0.256 (multiplicity 2)
I 0.444 0.750 0.860 (multiplicity 2)
I 0.481 0.250 0.632 (multiplicity 2)

Values from the calculation:
* spin magnetization: 0.00 Bohr magnetons per cell


(b)
Entry from the Alexandria database: crystalline K3PbI6 at its relaxed geometry (PBE).

a = 8.661 Å, b = 9.255 Å, c = 13.855 Å
α = 90.00°, β = 121.94°, γ = 90.00°
Space group P2_1/c (No. 14)
Unique sites:
K 0.000 0.000 0.000 (multiplicity 2)
K 0.198 0.075 0.728 (multiplicity 4)
Pb 0.500 0.000 0.500 (multiplicity 2)
I 0.159 0.186 0.450 (multiplicity 4)
I 0.231 0.730 0.401 (multiplicity 4)
I 0.412 0.084 0.257 (multiplicity 4)

Values from the calculation:
* spin magnetization: 0.00 Bohr magnetons per cell


Order from most stable to least stable according to the calculation: (a), (b)


(a)
Entry from the Alexandria database: crystalline KPb3I at its relaxed geometry (PBE).

a = 6.222 Å, b = 6.222 Å, c = 6.222 Å
α = 90.00°, β = 90.00°, γ = 90.00°
Space group Pm-3m (No. 221)
Unique sites:
K 0.000 0.000 0.000 (multiplicity 1)
Pb 0.000 0.000 0.500 (multiplicity 3)
I 0.500 0.500 0.500 (multiplicity 1)

Values from the calculation:
* spin magnetization: 0.00 Bohr magnetons per cell


(b)
Entry from the Alexandria database: crystalline KPb3I at its relaxed geometry (PBE).

a = 6.139 Å, b = 6.139 Å, c = 6.139 Å
α = 90.00°, β = 90.00°, γ = 90.00°
Space group Pm-3m (No. 221)
Unique sites:
K 0.000 0.000 0.000 (multiplicity 1)
Pb 0.000 0.500 0.500 (multiplicity 3)
I 0.500 0.500 0.500 (multiplicity 1)

Values from the calculation:
* spin magnetization: 0.00 Bohr magnetons per cell


Order from most stable to least stable according to the calculation: (b), (a)


(a)
Entry from the Alexandria database: crystalline K2PbI4 at its relaxed geometry (PBE).

a = 6.295 Å, b = 6.295 Å, c = 18.162 Å
α = 90.00°, β = 90.00°, γ = 90.00°
Space group I4/mmm (No. 139)
Unique sites:
K 0.000 0.000 0.136 (multiplicity 4)
Pb 0.000 0.000 0.500 (multiplicity 2)
I 0.000 0.000 0.325 (multiplicity 4)
I 0.000 0.500 0.000 (multiplicity 4)

Values from the calculation:
* spin magnetization: 0.00 Bohr magnetons per cell


(b)
Entry from the Alexandria database: crystalline K2PbI4 at its relaxed geometry (PBE).

a = 10.328 Å, b = 14.200 Å, c = 4.833 Å
α = 90.00°, β = 90.00°, γ = 90.00°
Space group Cmmm (No. 65)
Unique sites:
K 0.250 0.250 0.000 (multiplicity 4)
Pb 0.000 0.000 0.500 (multiplicity 2)
I 0.000 0.231 0.500 (multiplicity 4)
I 0.217 0.000 0.000 (multiplicity 4)

Values from the calculation:
* spin magnetization: 0.00 Bohr magnetons per cell


(c)
Entry from the Alexandria database: crystalline K2PbI4 at its relaxed geometry (PBE).

a = 15.912 Å, b = 4.874 Å, c = 9.421 Å
α = 90.00°, β = 117.18°, γ = 90.00°
Space group C2/m (No. 12)
Unique sites:
K 0.192 0.000 0.176 (multiplicity 4)
Pb 0.000 0.500 0.500 (multiplicity 2)
I 0.096 0.500 0.882 (multiplicity 4)
I 0.145 0.000 0.520 (multiplicity 4)

Values from the calculation:
* spin magnetization: 0.00 Bohr magnetons per cell


Order from most stable to least stable according to the calculation: (b), (c), (a)


(a)
Entry from the Alexandria database: crystalline KSb2PbI at its relaxed geometry (PBE).

a = 5.973 Å, b = 5.973 Å, c = 6.085 Å
α = 90.00°, β = 90.00°, γ = 90.00°
Space group P4/mmm (No. 123)
Unique sites:
K 0.000 0.000 0.000 (multiplicity 1)
Sb 0.000 0.500 0.000 (multiplicity 2)
Pb 0.500 0.500 0.500 (multiplicity 1)
I 0.000 0.000 0.500 (multiplicity 1)

Values from the calculation:
* spin magnetization: 1.36 Bohr magnetons per cell


(b)
Entry from the Alexandria database: crystalline KSb2PbI at its relaxed geometry (PBE).

a = 5.894 Å, b = 5.894 Å, c = 6.668 Å
α = 90.00°, β = 90.00°, γ = 90.00°
Space group P4/mmm (No. 123)
Unique sites:
K 0.000 0.000 0.000 (multiplicity 1)
Sb 0.000 0.500 0.500 (multiplicity 2)
Pb 0.500 0.500 0.500 (multiplicity 1)
I 0.500 0.500 0.000 (multiplicity 1)

Values from the calculation:
* spin magnetization: 1.27 Bohr magnetons per cell


Order from most stable to least stable according to the calculation: (b), (a)


(a)
Entry from the Alexandria database: crystalline KPdI at its relaxed geometry (PBE).

a = 9.882 Å, b = 12.598 Å, c = 9.068 Å
α = 90.00°, β = 90.00°, γ = 90.00°
Space group Ima2 (No. 46)
Unique sites:
K 0.250 0.000 0.000 (multiplicity 4)
K 0.250 0.204 0.634 (multiplicity 4)
K 0.250 0.704 0.135 (multiplicity 4)
Pd 0.000 0.000 0.693 (multiplicity 4)
Pd 0.001 0.608 0.917 (multiplicity 8)
I 0.000 0.174 0.893 (multiplicity 8)
I 0.250 0.000 0.379 (multiplicity 4)

Values from the calculation:
* spin magnetization: 0.00 Bohr magnetons per cell


(b)
Entry from the Alexandria database: crystalline KPdI at its relaxed geometry (PBE).

a = 4.854 Å, b = 4.903 Å, c = 18.001 Å
α = 90.00°, β = 90.00°, γ = 90.00°
Space group Amm2 (No. 38)
Unique sites:
K 0.000 0.000 0.000 (multiplicity 2)
K 0.000 0.000 0.256 (multiplicity 2)
Pd 0.500 0.000 0.129 (multiplicity 2)
Pd 0.500 0.000 0.547 (multiplicity 2)
I 0.500 0.000 0.402 (multiplicity 2)
I 0.500 0.000 0.689 (multiplicity 2)

Values from the calculation:
* spin magnetization: 0.00 Bohr magnetons per cell


(c)
Entry from the Alexandria database: crystalline KPdI at its relaxed geometry (PBE).

a = 4.984 Å, b = 5.672 Å, c = 8.059 Å
α = 90.00°, β = 107.80°, γ = 90.00°
Space group P2_1/m (No. 11)
Unique sites:
K 0.116 0.250 0.234 (multiplicity 2)
Pd 0.500 0.000 0.000 (multiplicity 2)
I 0.359 0.250 0.712 (multiplicity 2)

Values from the calculation:
* spin magnetization: 0.00 Bohr magnetons per cell


(d)
Entry from the Alexandria database: crystalline KPdI at its relaxed geometry (PBE).

a = 4.7010 Å, b = 4.7010 Å, c = 9.6715 Å
α = 90.00°, β = 90.00°, γ = 120.00°
Space group P6_3/mmc (No. 194)
Unique sites:
K 0.0000 0.0000 0.0000 (multiplicity 2)
Pd 0.3333 0.6667 0.2500 (multiplicity 2)
I 0.3333 0.6667 0.7500 (multiplicity 2)

Values from the calculation:
* spin magnetization: 0.00 Bohr magnetons per cell


Order from most stable to least stable according to the calculation: (c), (b), (d), (a)


(a)
Entry from the Alexandria database: crystalline KPdI at its relaxed geometry (PBE).

a = 5.9046 Å, b = 5.9046 Å, c = 10.2229 Å
α = 90.00°, β = 90.00°, γ = 120.00°
Space group P6_3/mmc (No. 194)
Unique sites:
K 0.3333 0.6667 0.2500 (multiplicity 2)
Pd 0.0000 0.0000 0.0000 (multiplicity 2)
I 0.0000 0.0000 0.2500 (multiplicity 2)

Values from the calculation:
* spin magnetization: 0.00 Bohr magnetons per cell


(b)
Entry from the Alexandria database: crystalline KPdI at its relaxed geometry (PBE).

a = 4.888 Å, b = 6.215 Å, c = 7.013 Å
α = 93.51°, β = 97.80°, γ = 102.01°
Space group P1 (No. 1)
Unique sites:
K 0.000 0.000 0.000 (multiplicity 1)
K 0.262 0.578 0.441 (multiplicity 1)
Pd 0.624 0.333 0.175 (multiplicity 1)
Pd 0.810 0.425 0.810 (multiplicity 1)
I 0.374 0.567 0.935 (multiplicity 1)
I 0.709 0.122 0.479 (multiplicity 1)

Values from the calculation:
* spin magnetization: 0.00 Bohr magnetons per cell


(c)
Entry from the Alexandria database: crystalline KPdI at its relaxed geometry (PBE).

a = 7.079 Å, b = 7.079 Å, c = 7.079 Å
α = 90.00°, β = 90.00°, γ = 90.00°
Space group F-43m (No. 216)
Unique sites:
K 0.000 0.000 0.000 (multiplicity 4)
Pd 0.250 0.250 0.750 (multiplicity 4)
I 0.000 0.000 0.500 (multiplicity 4)

Values from the calculation:
* spin magnetization: 0.00 Bohr magnetons per cell


(d)
Entry from the Alexandria database: crystalline KPdI at its relaxed geometry (PBE).

a = 5.730 Å, b = 5.730 Å, c = 6.084 Å
α = 90.00°, β = 90.00°, γ = 90.00°
Space group P4/nmm (No. 129, origin choice 2)
Unique sites:
K 0.250 0.250 0.107 (multiplicity 2)
Pd 0.250 0.250 0.600 (multiplicity 2)
I 0.250 0.750 0.500 (multiplicity 2)

Values from the calculation:
* spin magnetization: 0.00 Bohr magnetons per cell


Order from most stable to least stable according to the calculation: (b), (a), (c), (d)